No. 1
Below is a geometry-optimized Mg2TcB structure, with properties calculated at the PBE-GGA level.

POSCAR file:
```
Mg2TcB
1.0
7.674 0.000 0.000
0.000 7.674 0.000
3.837 3.837 2.162
Mg B Tc
4 2 2
direct
0.520 0.125 0.250 Mg
0.230 0.625 0.250 Mg
0.375 0.480 0.750 Mg
0.875 0.770 0.750 Mg
0.500 0.500 0.000 B
0.250 0.750 0.500 B
0.000 0.000 0.000 Tc
0.750 0.250 0.500 Tc
```

Calculated values
mass density = 4.1 g cm⁻³
E_form = 51 kJ per mole of atoms
Fermi-level density of states = 0.208 states/eV/cell

No. 2
Below is a geometry-optimized Mn3Co5H12 structure, with properties calculated at the PBE-GGA level.

POSCAR file:
```
Mn3Co5H12
1.0
8.787 0.000 0.000
-2.929 8.284 0.000
-2.929 -4.142 7.174
Mn Co H
12 20 48
direct
0.750 0.375 0.125 Mn
0.875 0.750 0.125 Mn
0.375 0.750 0.625 Mn
0.250 0.125 0.375 Mn
0.875 0.125 0.250 Mn
0.375 0.625 0.250 Mn
0.625 0.375 0.750 Mn
0.125 0.875 0.750 Mn
0.750 0.875 0.625 Mn
0.625 0.250 0.375 Mn
0.125 0.250 0.875 Mn
0.250 0.625 0.875 Mn
0.125 0.375 0.250 Co
0.000 0.500 0.000 Co
0.000 0.000 0.000 Co
0.375 0.250 0.125 Co
0.500 0.000 0.500 Co
0.500 0.500 0.000 Co
0.125 0.750 0.375 Co
0.750 0.125 0.875 Co
0.750 0.625 0.375 Co
0.375 0.125 0.750 Co
0.625 0.875 0.250 Co
0.500 0.500 0.500 Co
0.500 0.000 0.000 Co
0.000 0.000 0.500 Co
0.250 0.375 0.625 Co
0.250 0.875 0.125 Co
0.000 0.500 0.500 Co
0.875 0.250 0.625 Co
0.625 0.750 0.875 Co
0.875 0.625 0.750 Co
0.713 0.129 0.044 H
0.332 0.544 0.416 H
0.956 0.371 0.287 H
0.544 0.213 0.129 H
0.584 0.713 0.668 H
0.956 0.584 0.168 H
0.332 0.787 0.416 H
0.084 0.916 0.129 H
0.584 0.956 0.668 H
0.713 0.584 0.168 H
0.787 0.456 0.371 H
0.832 0.916 0.044 H
0.129 0.713 0.544 H
0.371 0.416 0.084 H
0.084 0.916 0.371 H
0.416 0.129 0.584 H
0.084 0.168 0.213 H
0.456 0.668 0.084 H
0.832 0.916 0.287 H
0.129 0.416 0.084 H
0.371 0.956 0.787 H
0.584 0.629 0.416 H
0.916 0.832 0.544 H
0.787 0.332 0.916 H
0.416 0.371 0.584 H
0.084 0.168 0.456 H
0.213 0.668 0.084 H
0.168 0.084 0.713 H
0.629 0.044 0.213 H
0.871 0.584 0.916 H
0.544 0.332 0.916 H
0.584 0.871 0.416 H
0.916 0.832 0.787 H
0.916 0.084 0.629 H
0.871 0.287 0.456 H
0.168 0.084 0.956 H
0.629 0.584 0.916 H
0.416 0.044 0.332 H
0.287 0.416 0.832 H
0.213 0.544 0.629 H
0.916 0.084 0.871 H
0.668 0.213 0.584 H
0.456 0.787 0.871 H
0.044 0.416 0.832 H
0.416 0.287 0.332 H
0.044 0.629 0.713 H
0.668 0.456 0.584 H
0.287 0.871 0.956 H
```

Calculated values
electronic total energy = -5.10 eV per atom
mass density = 6.0 g cm⁻³
Fermi-level density of states = 29.379 states/eV/cell

No. 3
Below is a geometry-optimized Be4FeGe structure, with properties calculated at the PBE-GGA level.

POSCAR file:
```
Be4FeGe
1.0
-0.606 3.771 -1.807
-3.015 2.579 1.454
1.056 3.529 2.070
Be Fe Ge
4 1 1
direct
0.624 0.624 0.128 Be
0.624 0.128 0.624 Be
0.128 0.624 0.624 Be
0.624 0.624 0.624 Be
0.250 0.250 0.250 Fe
0.000 0.000 0.000 Ge
```

Calculated values
mass density = 5.1 g cm⁻³
E_form = -8 kJ per mole of atoms
Fermi-level density of states = 1.785 states/eV/cell

No. 4
Below is a geometry-optimized Pr3Tm2Al3 structure, with properties calculated at the PBE-GGA level.

POSCAR file:
```
Pr3Tm2Al3
1.0
3.309 0.000 0.000
0.000 7.461 -4.308
0.000 0.000 8.615
Pr Tm Al
3 2 3
direct
0.000 0.755 0.755 Pr
0.000 0.245 0.000 Pr
0.000 0.000 0.245 Pr
0.000 0.333 0.667 Tm
0.000 0.667 0.333 Tm
0.500 0.392 0.392 Al
0.500 0.608 0.000 Al
0.500 0.000 0.608 Al
```

Calculated values
mass density = 6.6 g cm⁻³
E_form = -22 kJ per mole of atoms
Fermi-level density of states = 8.982 states/eV/cell

No. 5
Below is a geometry-optimized In7Ag4Hg structure, with properties calculated at the PBE-GGA level.

POSCAR file:
```
In7Ag4Hg
1.0
3.427 0.000 0.000
-1.714 2.968 0.000
0.000 0.000 27.502
In Ag Hg
7 4 1
direct
0.000 0.000 0.000 In
0.333 0.667 0.410 In
0.667 0.333 0.590 In
0.333 0.667 0.160 In
0.667 0.333 0.840 In
0.000 0.000 0.749 In
0.000 0.000 0.251 In
0.333 0.667 0.920 Ag
0.667 0.333 0.080 Ag
0.333 0.667 0.669 Ag
0.667 0.333 0.331 Ag
0.000 0.000 0.500 Hg
```

Calculated values
mass density = 8.5 g cm⁻³
E_form = 3 kJ per mole of atoms
Fermi-level density of states = 4.166 states/eV/cell

No. 6
Below is a geometry-optimized Tm6SnOs structure, with properties calculated at the PBE-GGA level.

POSCAR file:
```
Tm6SnOs
1.0
6.721 0.009 0.005
3.353 5.830 0.012
3.348 1.938 6.499
Tm Sn Os
6 1 1
direct
0.041 0.418 0.759 Tm
0.781 0.041 0.759 Tm
0.582 0.218 0.241 Tm
0.219 0.959 0.241 Tm
0.959 0.582 0.241 Tm
0.418 0.782 0.759 Tm
0.500 0.500 0.500 Sn
0.000 0.000 0.000 Os
```

Calculated values
mass density = 8.6 g cm⁻³
E_form = -7 kJ per mole of atoms
Fermi-level density of states = 7.461 states/eV/cell

No. 7
Below is a geometry-optimized LiGeCl4 structure, with properties calculated at the PBE-GGA level.

POSCAR file:
```
LiGeCl4
1.0
6.517 0.000 0.000
0.000 8.382 0.000
0.000 0.000 7.083
Li Ge Cl
2 2 8
direct
0.028 0.037 0.000 Li
0.528 0.963 0.500 Li
0.492 0.250 0.000 Ge
0.992 0.750 0.500 Ge
0.367 0.493 0.000 Cl
0.851 0.288 0.000 Cl
0.317 0.113 0.749 Cl
0.817 0.887 0.751 Cl
0.351 0.712 0.500 Cl
0.867 0.507 0.500 Cl
0.817 0.887 0.249 Cl
0.317 0.113 0.251 Cl
```

Calculated values
mass density = 1.9 g cm⁻³
Fermi-level density of states = 4.589 states/eV/cell
E_form (uncorrected) = -1.000 eV/atom

No. 8
Below is a geometry-optimized Hf6Mg2Sc3 structure, with properties calculated at the PBE-GGA level.

POSCAR file:
```
Hf6Mg2Sc3
1.0
-0.575 3.620 3.321
-7.954 0.144 -1.535
2.920 -4.851 5.795
Hf Mg Sc
6 2 3
direct
0.500 0.206 0.000 Hf
0.500 0.794 0.794 Hf
0.000 0.778 0.000 Hf
0.000 0.000 0.778 Hf
0.500 0.000 0.206 Hf
0.000 0.222 0.222 Hf
0.000 0.667 0.333 Mg
0.000 0.333 0.667 Mg
0.500 0.561 0.000 Sc
0.500 0.000 0.561 Sc
0.500 0.439 0.439 Sc
```

Calculated values
mass density = 7.4 g cm⁻³
E_form = 47 kJ per mole of atoms
Fermi-level density of states = 18.634 states/eV/cell

No. 9
Below is a geometry-optimized DyY2Tl3Te6 structure, with properties calculated at the PBE-GGA level.

POSCAR file:
```
DyY2Tl3Te6
1.0
7.713 -0.001 0.000
-3.855 6.680 0.000
-1.287 -2.228 8.183
Dy Y Tl Te
1 2 3 6
direct
0.000 0.000 0.000 Dy
0.333 0.667 0.000 Y
0.667 0.333 0.000 Y
0.167 0.833 0.500 Tl
0.833 0.167 0.500 Tl
0.500 0.500 0.500 Tl
0.929 0.596 0.786 Te
0.738 0.738 0.214 Te
0.071 0.404 0.214 Te
0.596 0.929 0.786 Te
0.262 0.262 0.786 Te
0.404 0.071 0.214 Te
```

Calculated values
mass density = 6.8 g cm⁻³
E_form (uncorrected) = -1.064 eV/atom

No. 10
Below is a geometry-optimized ZrC3Se structure, with properties calculated at the PBE-GGA level.

POSCAR file:
```
ZrC3Se
1.0
4.398 0.000 0.000
0.000 4.398 0.000
0.000 0.000 4.398
C Se Zr
3 1 1
direct
0.000 0.500 0.000 C
0.000 0.000 0.500 C
0.500 0.000 0.000 C
0.500 0.500 0.500 Se
0.000 0.000 0.000 Zr
```

Calculated values
polymorph energy (0 for the lowest one) = 2.20 eV per formula unit
mass density = 4.0 g cm⁻³
Fermi-level density of states = 3.680 states/eV/cell
E_form (uncorrected) = 2.451 eV/atom

No. 11
Below is a geometry-optimized CaGe2Rh3 structure, with properties calculated at the PBE-GGA level.

POSCAR file:
```
CaGe2Rh3
1.0
5.841 -0.606 -0.666
-0.573 6.083 -0.068
-0.573 -0.642 6.050
Ca Ge Rh
2 4 6
direct
0.177 0.337 0.337 Ca
0.823 0.663 0.663 Ca
0.500 0.764 0.236 Ge
0.000 0.783 0.217 Ge
0.000 0.217 0.783 Ge
0.500 0.236 0.764 Ge
0.688 0.447 0.155 Rh
0.688 0.155 0.447 Rh
0.312 0.553 0.845 Rh
0.737 0.997 0.997 Rh
0.263 0.003 0.003 Rh
0.312 0.845 0.553 Rh
```

Calculated values
mass density = 7.8 g cm⁻³
E_form = -52 kJ per mole of atoms
Fermi-level density of states = 5.327 states/eV/cell

No. 12
Below is a geometry-optimized LaZnPt2 structure, with properties calculated at the PBE-GGA level.

POSCAR file:
```
LaZnPt2
1.0
4.531 0.000 0.000
0.000 3.972 0.014
0.000 0.819 5.006
La Pt Zn
1 2 1
direct
0.500 0.756 0.815 La
0.000 0.233 0.953 Pt
0.500 0.184 0.279 Pt
0.000 0.327 0.453 Zn
```

Calculated values
mass density = 11.0 g cm⁻³
E_form = -77 kJ per mole of atoms
Fermi-level density of states = 1.181 states/eV/cell

No. 13
Below is a geometry-optimized Pm7Nd4Mg structure, with properties calculated at the PBE-GGA level.

POSCAR file:
```
Pm7Nd4Mg
1.0
-2.832 -1.533 -1.728
3.210 -1.741 0.148
-9.884 -15.661 30.094
Pm Nd Mg
7 4 1
direct
0.000 0.000 0.000 Pm
0.667 0.333 0.576 Pm
0.333 0.667 0.424 Pm
0.667 0.333 0.830 Pm
0.333 0.667 0.170 Pm
0.000 0.000 0.254 Pm
0.000 0.000 0.746 Pm
0.667 0.333 0.085 Nd
0.333 0.667 0.915 Nd
0.667 0.333 0.340 Nd
0.333 0.667 0.660 Nd
0.000 0.000 0.500 Mg
```

Calculated values
mass density = 6.6 g cm⁻³
E_form = 1 kJ per mole of atoms
Fermi-level density of states = 14.702 states/eV/cell

No. 14
Below is a geometry-optimized Pm6PrEr3Tm2 structure, with properties calculated at the PBE-GGA level.

POSCAR file:
```
Pm6PrEr3Tm2
1.0
-6.071 -1.404 -0.115
3.383 -0.371 -5.222
3.418 -10.525 4.199
Pm Pr Er Tm
6 1 3 2
direct
0.916 0.581 0.748 Pm
0.750 0.750 0.252 Pm
0.084 0.419 0.252 Pm
0.581 0.916 0.748 Pm
0.250 0.250 0.748 Pm
0.419 0.084 0.252 Pm
0.000 0.000 0.000 Pr
0.167 0.833 0.500 Er
0.833 0.167 0.500 Er
0.500 0.500 0.500 Er
0.333 0.667 0.000 Tm
0.667 0.333 0.000 Tm
```

Calculated values
mass density = 7.8 g cm⁻³
E_form = 2 kJ per mole of atoms
Fermi-level density of states = 14.021 states/eV/cell

No. 15
Below is a geometry-optimized PrSmAlTl structure, with properties calculated at the PBE-GGA level.

POSCAR file:
```
PrSmAlTl
1.0
-1.512 -3.126 -4.135
3.641 -1.583 -3.660
1.564 -5.165 -0.193
Pr Tl Al Sm
1 1 1 1
direct
0.250 0.250 0.250 Pr
0.000 0.000 0.000 Tl
0.500 0.500 0.500 Al
0.750 0.750 0.750 Sm
```

Calculated values
polymorph energy (0 for the lowest one) = 0.09 eV per formula unit
mass density = 7.8 g cm⁻³
E_form = -33 kJ per mole of atoms
Fermi-level density of states = 1.546 states/eV/cell

No. 16
Below is a geometry-optimized PmGaTe2 structure, with properties calculated at the PBE-GGA level.

POSCAR file:
```
PmGaTe2
1.0
-2.861 2.989 1.409
-4.246 -0.422 -0.947
-3.440 -3.311 6.817
Pm Ga Te
1 1 2
direct
0.499 0.499 0.502 Pm
0.667 0.667 0.000 Ga
0.085 0.085 0.745 Te
0.249 0.249 0.253 Te
```

Calculated values
mass density = 5.9 g cm⁻³
Fermi-level density of states = 0.381 states/eV/cell
E_form (uncorrected) = -0.877 eV/atom

No. 17
Below is a geometry-optimized MnZnTc3 structure, with properties calculated at the PBE-GGA level.

POSCAR file:
```
MnZnTc3
1.0
4.410 0.000 0.000
0.000 4.410 0.000
0.000 0.000 4.410
Zn Mn Tc
1 1 3
direct
0.500 0.500 0.500 Zn
0.000 0.000 0.000 Mn
0.000 0.500 0.000 Tc
0.000 0.000 0.500 Tc
0.500 0.000 0.000 Tc
```

Calculated values
polymorph energy (0 for the lowest one) = 0.00 eV per formula unit
mass density = 8.0 g cm⁻³
E_form = 113 kJ per mole of atoms
Fermi-level density of states = 5.988 states/eV/cell

No. 18
Below is a geometry-optimized TmAl3CoCu structure, with properties calculated at the PBE-GGA level.

POSCAR file:
```
TmAl3CoCu
1.0
-1.977 -5.030 1.056
5.738 -2.257 -0.009
-2.442 2.188 5.852
Tm Al Co Cu
2 6 2 2
direct
0.750 0.271 0.542 Tm
0.250 0.729 0.458 Tm
0.250 0.140 0.281 Al
0.000 0.293 0.000 Al
0.500 0.707 0.000 Al
0.500 0.293 0.000 Al
0.000 0.707 0.000 Al
0.750 0.860 0.719 Al
0.250 0.940 0.879 Co
0.750 0.060 0.121 Co
0.250 0.350 0.700 Cu
0.750 0.650 0.300 Cu
```

Calculated values
mass density = 6.1 g cm⁻³
E_form = -26 kJ per mole of atoms
Fermi-level density of states = 6.877 states/eV/cell

No. 19
Below is a geometry-optimized Ta2NbB2Os5 structure, with properties calculated at the PBE-GGA level.

POSCAR file:
```
Ta2NbB2Os5
1.0
3.028 0.000 0.000
0.000 9.547 0.000
0.000 0.000 9.547
Ta Nb B Os
4 2 4 10
direct
0.000 0.677 0.177 Ta
0.000 0.323 0.823 Ta
0.000 0.177 0.323 Ta
0.000 0.823 0.677 Ta
0.000 0.000 0.000 Nb
0.000 0.500 0.500 Nb
0.000 0.121 0.621 B
0.000 0.879 0.379 B
0.000 0.621 0.879 B
0.000 0.379 0.121 B
0.500 0.219 0.072 Os
0.500 0.781 0.928 Os
0.500 0.072 0.781 Os
0.500 0.719 0.428 Os
0.500 0.928 0.219 Os
0.500 0.281 0.572 Os
0.500 0.572 0.719 Os
0.500 0.428 0.281 Os
0.500 0.500 0.000 Os
0.500 0.000 0.500 Os
```

Calculated values
mass density = 17.2 g cm⁻³
E_form = -36 kJ per mole of atoms
Fermi-level density of states = 7.697 states/eV/cell

No. 20
Below is a geometry-optimized TiIr2N structure, with properties calculated at the PBE-GGA level.

POSCAR file:
```
TiIr2N
1.0
-2.142 2.690 3.798
-4.443 -2.425 -0.788
-1.938 -3.414 4.781
N Ir Ti
2 4 2
direct
0.500 0.500 0.000 N
0.250 0.750 0.500 N
0.536 0.125 0.250 Ir
0.214 0.625 0.250 Ir
0.375 0.464 0.750 Ir
0.875 0.786 0.750 Ir
0.000 0.000 0.000 Ti
0.750 0.250 0.500 Ti
```

Calculated values
mass density = 11.3 g cm⁻³
Fermi-level density of states = 8.905 states/eV/cell
E_form (uncorrected) = 0.178 eV/atom